Record 1
{"formula": "I3Cl", "functional": "PBE", "state": "relaxed", "formation_energy_uncorrected_ev_per_atom": 0.38, "sg": "No. 122", "lattice": [[-2.6334, 2.6334, 10.5630], [2.6334, -2.6334, 10.5630], [2.6334, 2.6334, -10.5630]], "species": ["I", "I", "I", "I", "I", "I", "Cl", "Cl"], "fractional_positions": [[0.0000, 0.0000, 0.0000], [0.1078, 0.6250, 0.9828], [0.3750, 0.3578, 0.4828], [0.6422, 0.1250, 0.0172], [0.7500, 0.2500, 0.5000], [0.8750, 0.8922, 0.5172], [0.2500, 0.7500, 0.5000], [0.5000, 0.5000, 0.0000]]}

---

Record 2
{"formula": "TiZn2Rh3", "functional": "PBE", "state": "relaxed", "ef_kj_per_mol_atoms": -61, "sg": "No. 123", "e_above_lowest_polymorph_ev_per_fu": 0.23, "lattice": [[3.0806, 0.0000, 0.0000], [0.0000, 3.0806, 0.0000], [0.0000, 0.0000, 8.9546]], "species": ["Ti", "Zn", "Zn", "Rh", "Rh", "Rh"], "fractional_positions": [[0.0000, 0.0000, 0.0000], [0.0000, 0.0000, 0.3396], [0.0000, 0.0000, 0.6604], [0.5000, 0.5000, 0.1651], [0.5000, 0.5000, 0.5000], [0.5000, 0.5000, 0.8349]]}

---

Record 3
{"formula": "CsFe2I7", "functional": "PBE", "state": "relaxed", "formation_energy_uncorrected_ev_per_atom": -0.36, "sg": "No. 10", "lattice": [[9.3728, 0.0000, 0.0000], [0.0000, 4.3860, 0.0000], [-2.8467, 0.0000, 11.9106]], "species": ["Cs", "Fe", "Fe", "I", "I", "I", "I", "I", "I", "I"], "fractional_positions": [[0.0000, 0.0000, 0.0000], [0.1733, 0.5000, 0.3447], [0.8267, 0.5000, 0.6553], [0.0953, 0.5000, 0.7550], [0.2480, 0.0000, 0.4671], [0.3255, 0.5000, 0.1944], [0.5000, 0.5000, 0.0000], [0.6745, 0.5000, 0.8056], [0.7520, 0.0000, 0.5329], [0.9047, 0.5000, 0.2450]]}

---

Record 4
{"formula": "Dy2Ni2Hg", "functional": "PBE", "state": "relaxed", "ef_kj_per_mol_atoms": -49, "sg": "No. 65", "lattice": [[1.9498, -6.9992, 0.0000], [1.9498, 6.9992, 0.0000], [0.0000, 0.0000, 3.7126]], "species": ["Dy", "Dy", "Ni", "Ni", "Hg"], "fractional_positions": [[0.1364, 0.8636, 0.0000], [0.8636, 0.1364, 0.0000], [0.3001, 0.6999, 0.5000], [0.6999, 0.3001, 0.5000], [0.5000, 0.5000, 0.5000]]}

---

Record 5
{"formula": "RbCuBiBr6", "functional": "PBE", "state": "relaxed", "formation_energy_uncorrected_ev_per_atom": -0.80, "sg": "No. 1", "lattice": [[7.0133, 0.0000, 0.0000], [-2.9389, 6.5445, 0.0000], [-0.7018, -0.6767, 7.5794]], "species": ["Rb", "Cu", "Bi", "Br", "Br", "Br", "Br", "Br", "Br"], "fractional_positions": [[0.0000, 0.0000, 0.0000], [0.7240, 0.3396, 0.4809], [0.3677, 0.6715, 0.5127], [0.0170, 0.6248, 0.2734], [0.0365, 0.3437, 0.6655], [0.4176, 0.9589, 0.7863], [0.4407, 0.3631, 0.2814], [0.6580, 0.0035, 0.3273], [0.6792, 0.5605, 0.7150]]}

---

Record 6
{"formula": "PuInFe4", "functional": "PBE", "state": "relaxed", "ef_kj_per_mol_atoms": 18, "sg": "No. 216", "lattice": [[0.0000, 3.5681, 3.5681], [3.5681, 0.0000, 3.5681], [3.5681, 3.5681, 0.0000]], "species": ["Pu", "In", "Fe", "Fe", "Fe", "Fe"], "fractional_positions": [[0.0000, 0.0000, 0.0000], [0.2500, 0.2500, 0.2500], [0.1224, 0.6259, 0.6259], [0.6259, 0.1224, 0.6259], [0.6259, 0.6259, 0.1224], [0.6259, 0.6259, 0.6259]]}

---

| no. | electronic total energy (eV per cell) | mass density (g/cm3) |
| --- | --- | --- |
| 1 | -9.97 | 4.72 |
| 2 | -36.31 | 9.52 |
| 3 | -32.18 | 3.84 |
| 4 | -23.60 | 10.54 |
| 5 | -26.19 | 4.00 |
| 6 | -49.82 | 10.64 |